Entry 1:
## Sr2SbSe (PBE)

Data for a relaxed Sr2SbSe crystal.

Lattice parameters (Å, degrees): 6.5801 6.5801 5.3987 89.99 89.99 33.89
With the nearest neighbours (Å) after each atom.
Sites, in units of the cell vectors:
Sb: 0.4925 0.4925 0.6250  7 Sr 3.31-3.55
Se: 0.2520 0.2520 0.1250  5 Sr 3.17-3.31
Sr: 0.0003 0.0003 0.1250  1 Se 3.17, 4 Sb 3.31
Sr: 0.7552 0.7552 0.6250  3 Sb 3.31-3.55, 4 Se 3.31

Summary:
- uncorrected formation energy (meV/atom) = -1234
- SG = Amm2

Entry 2:
## SrSb2Se (PBE)

Data for a relaxed SrSb2Se crystal.

Lattice parameters (Å, degrees): 4.4113 6.8980 4.4095 72.07 87.88 107.93
With the nearest neighbours (Å) after each atom.
Sites, in units of the cell vectors:
Sb: 0.0000 0.0000 0.0000  4 Sb 3.06-3.18
Sb: 0.5000 0.0000 0.5000  4 Sb 3.06-3.18
Se: 0.0000 0.5000 0.5000  4 Sr 3.06-3.18
Sr: 0.5000 0.5000 0.0000  4 Se 3.06-3.18

Summary:
- uncorrected formation energy (meV/atom) = -688
- SG = Fmmm

Entry 3:
## SrSbTe2Se (PBE)

Data for a relaxed SrSbTe2Se crystal.

Lattice parameters (Å, degrees): 5.5542 5.5542 5.4893 90.00 90.00 90.00
With the nearest neighbours (Å) after each atom.
Sites, in units of the cell vectors:
Sb: 0.0000 0.0000 0.5000  2 Se 2.74
Te: 0.0000 0.5000 0.0000  2 Se 2.78
Te: 0.5000 0.0000 0.0000  2 Se 2.78
Se: 0.0000 0.0000 0.0000  2 Sb 2.74, 4 Te 2.78
Sr: 0.5000 0.5000 0.5000  8 Te 3.90, 4 Sb 3.93

Summary:
- uncorrected formation energy (meV/atom) = -252
- SG = P4/mmm

Entry 4:
## SrSb2TeSe (PBE)

Data for a relaxed SrSb2TeSe crystal.

Lattice parameters (Å, degrees): 6.1320 6.1320 5.9625 90.00 90.00 90.00
With the nearest neighbours (Å) after each atom.
Sites, in units of the cell vectors:
Sb: 0.0000 0.5000 0.0000  2 Sr 3.07
Sb: 0.5000 0.0000 0.0000  2 Sr 3.07
Te: 0.0000 0.0000 0.5000  2 Sr 2.98
Se: 0.5000 0.5000 0.5000  8 Sb 4.28, 4 Te 4.34
Sr: 0.0000 0.0000 0.0000  2 Te 2.98, 4 Sb 3.07

Summary:
- uncorrected formation energy (meV/atom) = 843
- SG = P4/mmm

Entry 5:
## SrSb2TeSe (PBE)

Data for a relaxed SrSb2TeSe crystal.

Lattice parameters (Å, degrees): 5.4792 5.4792 5.5923 90.00 90.00 90.00
With the nearest neighbours (Å) after each atom.
Sites, in units of the cell vectors:
Sb: 0.0000 0.5000 0.0000  2 Se 2.74
Sb: 0.5000 0.0000 0.0000  2 Se 2.74
Te: 0.0000 0.0000 0.5000  2 Se 2.80
Se: 0.0000 0.0000 0.0000  4 Sb 2.74, 2 Te 2.80
Sr: 0.5000 0.5000 0.5000  4 Te 3.87, 8 Sb 3.91

Summary:
- uncorrected formation energy (meV/atom) = -125
- SG = P4/mmm

Entry 6:
## SrSbTe2Se (PBE)

Data for a relaxed SrSbTe2Se crystal.

Lattice parameters (Å, degrees): 6.0887 6.0887 6.3374 90.00 90.00 90.00
With the nearest neighbours (Å) after each atom.
Sites, in units of the cell vectors:
Sb: 0.0000 0.0000 0.5000  2 Sr 3.17
Te: 0.0000 0.5000 0.0000  2 Sr 3.04
Te: 0.5000 0.0000 0.0000  2 Sr 3.04
Se: 0.5000 0.5000 0.5000  4 Sb 4.31, 8 Te 4.39
Sr: 0.0000 0.0000 0.0000  4 Te 3.04, 2 Sb 3.17

Summary:
- uncorrected formation energy (meV/atom) = 670
- SG = P4/mmm

no.,volume (Å³ per atom),density (Mg/m³)
1,32.6,4.8
2,30.0,5.7
3,33.9,5.3
4,44.8,4.0
5,33.6,5.3
6,47.0,3.8